Here is a relaxed structure of YGe2Ru2 from Alexandria via LeMat-Bulk. Energies are from GGA-PBEsol.

Unit cell a=4.2002 b=4.2002 c=9.7854 alpha=90.00 beta=90.00 gamma=90.00
Last column: nearest neighbours and their distance in Å.
Space group I4/mmm (No. 139)
Asymmetric unit:
1 Y 0.0000 0.0000 0.0000  8 Ru 3.22, 8 Ge 3.23
2 Ge 0.0000 0.0000 0.3708  4 Ru 2.41, 1 Ge 2.53
3 Ru 0.0000 0.5000 0.2500  4 Ge 2.41

Summary:
**N(E_F)**: 6.1 states/eV per cell
**Theoretical density**: 8.394 g/cm3
**Magnetic moment**: 0.00 Bohr magnetons per cell
**Energy relative to the elements**: -0.6606 eV per atom